First-principles (SCAN) data for a crystal of ZnTeO2 relaxed with PBEsol, as listed in Alexandria via LeMat-Bulk.

Calculated values
For the raw formation energy, the calculation gives -0.651 eV/atom. The mass density is 6378 kg/m3. The electronic total energy comes out at -16.458 eV per atom.

POSCAR file:
```
ZnTeO2
1.0
5.329 0.000 0.000
-2.664 4.912 0.041
0.000 2.853 4.500
Zn Te O
2 2 4
Cartesian
0.000 3.169 1.145
2.664 1.427 2.250
2.664 4.596 3.395
0.000 0.000 0.000
0.999 4.754 1.718
-0.999 6.180 3.968
3.996 2.833 2.542
1.332 1.763 0.854
```